LaSc3Cd4 | PBE | optimized geometry

Values from the calculation:
- density (Mg/m³) = 6.18
- space group = Pmma, No. 51
- raw total energy (Ry/atom) = -0.2726
- total magnetic moment (μB/atom) = 0.06
- ΔE_f (eV/atom) = -0.261

```
data_LaSc3Cd4
_cell_length_a 5.087
_cell_length_b 7.516
_cell_length_c 10.175
_cell_angle_alpha 90.00
_cell_angle_beta 90.00
_cell_angle_gamma 90.00
_symmetry_space_group_name_H-M 'P 1'
_symmetry_Int_Tables_number 1
loop_
_symmetry_equiv_pos_as_xyz
'x,y,z'
loop_
_atom_site_label
_atom_site_fract_x
_atom_site_fract_y
_atom_site_fract_z
Sc1 0.000 0.000 0.000
Sc2 0.000 0.000 0.500
Sc3 0.501 0.000 0.750
Sc4 0.499 0.000 0.250
Sc5 0.501 0.500 0.750
Sc6 0.499 0.500 0.250
Cd1 0.500 0.775 0.000
Cd2 0.500 0.775 0.500
Cd3 0.500 0.225 0.000
Cd4 0.500 0.225 0.500
Cd5 0.001 0.775 0.750
Cd6 0.999 0.775 0.250
Cd7 0.999 0.225 0.250
Cd8 0.001 0.225 0.750
La1 0.000 0.500 0.000
La2 0.000 0.500 0.500
```

=====

Sm2TmScTe4 | PBE | optimized geometry

Values from the calculation:
- density (Mg/m³) = 7.35
- space group = P2/m, No. 10
- raw total energy (Ry/atom) = -0.3938
- formation energy (no corrections) (meV per atom) = -1257.5
- total magnetic moment (μB/atom) = 0.00

```
data_Sm2TmScTe4
_cell_length_a 4.281
_cell_length_b 7.455
_cell_length_c 7.662
_cell_angle_alpha 108.74
_cell_angle_beta 90.00
_cell_angle_gamma 90.00
_symmetry_space_group_name_H-M 'P 1'
_symmetry_Int_Tables_number 1
loop_
_symmetry_equiv_pos_as_xyz
'x,y,z'
loop_
_atom_site_label
_atom_site_fract_x
_atom_site_fract_y
_atom_site_fract_z
Sm1 0.500 0.000 0.500
Sm2 0.000 0.500 0.500
Tm1 0.500 0.500 0.000
Sc1 0.000 0.000 0.000
Te1 0.500 0.239 0.231
Te2 0.500 0.761 0.769
Te3 0.000 0.251 0.766
Te4 0.000 0.749 0.234
```

=====

CeNd2SmN4 | PBE | optimized geometry

Values from the calculation:
- density (Mg/m³) = 7.94
- space group = P2/m, No. 10
- raw total energy (Ry/atom) = -0.5977
- formation energy (no corrections) (meV per atom) = -1446.4
- total magnetic moment (μB/atom) = 0.00

```
data_CeNd2SmN4
_cell_length_a 3.613
_cell_length_b 6.238
_cell_length_c 6.247
_cell_angle_alpha 109.32
_cell_angle_beta 90.00
_cell_angle_gamma 90.00
_symmetry_space_group_name_H-M 'P 1'
_symmetry_Int_Tables_number 1
loop_
_symmetry_equiv_pos_as_xyz
'x,y,z'
loop_
_atom_site_label
_atom_site_fract_x
_atom_site_fract_y
_atom_site_fract_z
Ce1 0.000 0.000 0.000
Nd1 0.500 0.000 0.500
Nd2 0.000 0.500 0.500
Sm1 0.500 0.500 0.000
N1 0.500 0.241 0.237
N2 0.500 0.759 0.763
N3 0.000 0.246 0.760
N4 0.000 0.754 0.240
```